Entry from Alexandria: crystalline TiCr2InF at its relaxed geometry (PBE with a Hubbard U).

The structure in POSCAR format:
```
TiCr2InF
1.0
5.2286 0.0000 0.0000
0.0000 5.2286 0.0000
0.0000 0.0000 5.2881
Ti Cr In F
1 2 1 1
Direct
0.0000 0.0000 0.0000
0.0000 0.5000 0.5000
0.5000 0.0000 0.5000
0.0000 0.0000 0.5000
0.5000 0.5000 0.0000
```

- Final energy: -23.41 eV for the cell shown